No. 1
This record from Alexandria describes a PBEsol-optimized structure of Tl2InSb. The functional is meta-GGA SCAN.

Unit cell a=3.4964 b=5.5775 c=11.3376 alpha=90.00 beta=90.00 gamma=90.00
Atoms (fractional coordinates):
Tl (0.0000, 0.0000, 0.0000)
Tl (0.0000, 0.5000, 0.2304)
Tl (0.5000, 0.0000, 0.7304)
Tl (0.5000, 0.5000, 0.5000)
In (0.0000, 0.5000, 0.7526)
In (0.5000, 0.0000, 0.2526)
Sb (0.0000, 0.0000, 0.4786)
Sb (0.5000, 0.5000, 0.9786)

Results
ρ: 9.69 Mg/m³
formation energy without anion corrections: 55 meV per atom
density of states at the Fermi level: 1.824 states/eV/f.u.
space group: Imm2 (44)

---

No. 2
This record from Alexandria describes a PBEsol-optimized structure of InSbW2. The functional is meta-GGA SCAN.

Unit cell a=3.0386 b=3.0386 c=27.1427 alpha=90.00 beta=90.00 gamma=120.00
Atoms (fractional coordinates):
In (0.0000, 0.0000, 0.0000)
In (0.3333, 0.6667, 0.6667)
In (0.6667, 0.3333, 0.3333)
Sb (0.0000, 0.0000, 0.5000)
Sb (0.3333, 0.6667, 0.1667)
Sb (0.6667, 0.3333, 0.8333)
W (0.0000, 0.0000, 0.2465)
W (0.0000, 0.0000, 0.7535)
W (0.3333, 0.6667, 0.4201)
W (0.3333, 0.6667, 0.9132)
W (0.6667, 0.3333, 0.0868)
W (0.6667, 0.3333, 0.5799)

Results
ρ: 13.87 Mg/m³
formation energy without anion corrections: 821 meV per atom
density of states at the Fermi level: 2.891 states/eV/f.u.
space group: R-3m (166)